(1)
{"formula": "Dy3Tm6ZrSc2", "functional": "PBE", "state": "relaxed", "lattice_angstrom": [[2.978, -5.151, 0.000], [2.978, 5.151, 0.000], [-1.980, 0.000, 11.192]], "species": ["Dy", "Dy", "Dy", "Tm", "Tm", "Tm", "Tm", "Tm", "Tm", "Zr", "Sc", "Sc"], "frac_coords": [[0.000, 0.000, 0.000], [0.333, 0.667, 0.000], [0.667, 0.333, 0.000], [0.091, 0.420, 0.261], [0.251, 0.251, 0.739], [0.420, 0.091, 0.261], [0.580, 0.909, 0.739], [0.749, 0.749, 0.261], [0.909, 0.580, 0.739], [0.500, 0.500, 0.500], [0.167, 0.833, 0.500], [0.833, 0.167, 0.500]], "ef_ev_per_atom": 0.05, "space_group": "C2/m, No. 12"}


(2)
{"formula": "Zr5Au3", "functional": "PBE", "state": "relaxed", "lattice_angstrom": [[6.124, -5.536, 0.000], [6.124, 5.536, 0.000], [-2.345, 0.000, 4.949]], "species": ["Zr", "Zr", "Zr", "Zr", "Zr", "Zr", "Zr", "Zr", "Zr", "Zr", "Au", "Au", "Au", "Au", "Au", "Au"], "frac_coords": [[0.001, 0.999, 0.750], [0.200, 0.639, 0.927], [0.201, 0.359, 0.294], [0.359, 0.201, 0.794], [0.361, 0.800, 0.573], [0.639, 0.200, 0.427], [0.641, 0.799, 0.206], [0.799, 0.641, 0.706], [0.800, 0.361, 0.073], [0.999, 0.001, 0.250], [0.001, 0.671, 0.335], [0.329, 0.999, 0.165], [0.499, 0.501, 0.250], [0.501, 0.499, 0.750], [0.671, 0.001, 0.835], [0.999, 0.329, 0.665]], "ef_ev_per_atom": -0.39, "space_group": "C2/c, No. 15"}


(3)
{"formula": "PrYH", "functional": "PBE", "state": "relaxed", "lattice_angstrom": [[-1.737, 1.737, 6.159], [1.737, -1.737, 6.159], [1.737, 1.737, -6.159]], "species": ["Pr", "Y", "H"], "frac_coords": [[0.000, 0.000, 0.000], [0.289, 0.289, 0.000], [0.470, 0.470, 0.000]], "total_energy_ev_per_atom": -4.986, "space_group": "I4mm, No. 107"}


(4)
{"formula": "Tb4Nd4Sm", "functional": "PBE", "state": "relaxed", "lattice_angstrom": [[5.719, -2.564, 0.000], [5.719, 2.564, 0.000], [-3.435, 0.000, 10.317]], "species": ["Tb", "Tb", "Tb", "Tb", "Nd", "Nd", "Nd", "Nd", "Sm"], "frac_coords": [[0.166, 0.166, 0.054], [0.169, 0.169, 0.725], [0.831, 0.831, 0.275], [0.834, 0.834, 0.946], [0.166, 0.166, 0.388], [0.499, 0.499, 0.166], [0.501, 0.501, 0.834], [0.834, 0.834, 0.612], [0.500, 0.500, 0.500]], "ef_ev_per_atom": 0.02, "space_group": "C2/m, No. 12"}


Number 1: size of the total moment 0.0 Bohr magnetons per cell. Number 2: size of the total moment 0.0 Bohr magnetons per cell. Number 3: size of the total moment 0.0 Bohr magnetons per cell. Number 4: size of the total moment 0.0 Bohr magnetons per cell.